Entry from the Alexandria database: crystalline DyMg4Cd2 at its relaxed geometry (PBE).

Geometry as POSCAR:
```
DyMg4Cd2
1.0
-4.465 0.903 1.170
1.927 -0.997 8.122
1.808 8.190 0.576
Mg Cd Dy
8 4 2
Cartesian
0.859 0.487 2.903
0.830 2.766 1.031
2.905 4.427 7.668
-0.801 1.079 5.561
0.126 2.863 7.719
2.876 6.706 5.796
0.072 7.018 4.307
-0.855 5.233 2.149
-1.131 2.573 3.150
1.833 6.306 2.124
0.401 5.523 6.718
1.903 0.887 6.575
1.868 3.596 4.349
-2.232 0.452 0.585
```

Output
Space-group type: No. 136
Electronic total energy in eV/atom: -1.9355
DFT formation energy in eV per atom: -0.11
Spin magnetization in μB per formula unit: 0.00
V in Å³ per cell: 332